Pu3Hg2Au (PBE, relaxed); space-group type = P4/mmm (123); D(E_F) = 19.12 states/eV per cell; energy of formation = -210 meV/atom
1.0
3.244 0.000 0.000
0.000 3.244 0.000
0.000 0.000 13.873
Pu Hg Au
3 2 1
direct
0.000 0.000 0.000 Pu
0.000 0.000 0.343 Pu
0.000 0.000 0.657 Pu
0.500 0.500 0.171 Hg
0.500 0.500 0.829 Hg
0.500 0.500 0.500 Au